[1]
Below is a relaxed SrMnP2 crystal, with properties calculated at the GGA-PBE level.

extended XYZ file:
```
4
Lattice="-2.021 2.021 5.003 2.021 -2.021 5.003 2.021 2.021 -5.003" Properties=species:S:1:pos:R:3 pbc="T T T"
Sr 0.000 0.000 0.000
Mn 2.021 0.000 2.501
P 0.000 0.000 5.003
P 0.000 2.021 2.501
```

**DOS at the Fermi energy**: 0.45 states/eV/atom
**Energy relative to the elements**: 30.2 meV per atom
**Energy relative to the lowest polymorph listed for this composition**: 0.632 eV/atom
**Total moment**: 1.03 μB per atom
**DFT total energy**: -21.55 eV/f.u.
**Symmetry**: I-4m2 (119)

[2]
Below is a relaxed SrMnP2 crystal, with properties calculated at the GGA-PBE level.

extended XYZ file:
```
4
Lattice="3.122 -3.510 0.000 3.122 3.510 0.000 -0.022 0.000 3.731" Properties=species:S:1:pos:R:3 pbc="T T T"
Sr 0.000 0.000 0.000
Mn 3.122 0.000 0.000
P 1.550 1.755 1.866
P 1.550 -1.755 1.866
```

**DOS at the Fermi energy**: 0.47 states/eV/atom
**Energy relative to the elements**: -14.4 meV per atom
**Energy relative to the lowest polymorph listed for this composition**: 0.587 eV/atom
**Total moment**: 1.07 μB per atom
**DFT total energy**: -21.73 eV/f.u.
**Symmetry**: C2/m (12)

energy relative to the lowest polymorph listed for this composition of number 2 (SrMnP2)? 0.587 eV/atom